(1)
A relaxed structure of SmLuTi4. Source: Alexandria via LeMat-Bulk, functional PBE.

Results
DFT formation energy	0.2601	eV/atom
calculated total energy	-157.038	eV for the cell shown
spin magnetization	9.3	μB/f.u.
ρ	6.201	g/cm3

Structure (CIF):
```
data_SmLuTi4
_chemical_formula_sum 'Sm4 Lu4 Ti16'
_cell_length_a 8.2109
_cell_length_b 8.2109
_cell_length_c 8.2109
_cell_angle_alpha 90.00
_cell_angle_beta 90.00
_cell_angle_gamma 90.00
_symmetry_space_group_name_H-M 'F -4 3 m'
_symmetry_Int_Tables_number 216
_symmetry_space_group_name_Hall 'F -4 2 3'
loop_
_atom_site_label
_atom_site_type_symbol
_atom_site_fract_x
_atom_site_fract_y
_atom_site_fract_z
Sm1 Sm 0.0000 0.0000 0.0000
Lu1 Lu 0.2500 0.2500 0.7500
Ti1 Ti 0.1238 0.1238 0.3762
```

(2)
A relaxed structure of LiSiP. Source: Alexandria via LeMat-Bulk, functional PBE.

Results
calculated total energy	-12.906	eV for the cell shown
energy above the most stable polymorph in this dataset	224	meV/atom
spin magnetization	0.0	μB/f.u.
ρ	2.629	g/cm3

Structure (CIF):
```
data_LiSiP
_chemical_formula_sum 'Li1 Si1 P1'
_cell_length_a 4.2975
_cell_length_b 4.2975
_cell_length_c 2.6065
_cell_angle_alpha 90.00
_cell_angle_beta 90.00
_cell_angle_gamma 120.00
_symmetry_space_group_name_H-M 'P -6 m 2'
_symmetry_Int_Tables_number 187
_symmetry_space_group_name_Hall 'P -6 2'
loop_
_atom_site_label
_atom_site_type_symbol
_atom_site_fract_x
_atom_site_fract_y
_atom_site_fract_z
Li1 Li 0.0000 0.0000 0.0000
Si1 Si 0.3333 0.6667 0.5000
P1 P 0.6667 0.3333 0.5000
```

(3)
A relaxed structure of Tb2TmSc. Source: Alexandria via LeMat-Bulk, functional PBE.

Results
DFT formation energy	0.1129	eV/atom
calculated total energy	-78.448	eV for the cell shown
energy above the most stable polymorph in this dataset	78	meV/atom
spin magnetization	0.0	μB/f.u.
ρ	7.424	g/cm3

Structure (CIF):
```
data_Tb2TmSc
_chemical_formula_sum 'Tb8 Tm4 Sc4'
_cell_length_a 7.8065
_cell_length_b 7.8065
_cell_length_c 7.8065
_cell_angle_alpha 90.00
_cell_angle_beta 90.00
_cell_angle_gamma 90.00
_symmetry_space_group_name_H-M 'F m -3 m'
_symmetry_Int_Tables_number 225
_symmetry_space_group_name_Hall '-F 4 2 3'
loop_
_atom_site_label
_atom_site_type_symbol
_atom_site_fract_x
_atom_site_fract_y
_atom_site_fract_z
Tb1 Tb 0.2500 0.2500 0.2500
Tm1 Tm 0.0000 0.0000 0.0000
Sc1 Sc 0.0000 0.0000 0.5000
```

(4)
A relaxed structure of KTe4Ru. Source: Alexandria via LeMat-Bulk, functional PBE.

Results
calculated total energy	-76.174	eV for the cell shown
spin magnetization	3.0	μB/f.u.
ρ	5.739	g/cm3

Structure (CIF):
```
data_KTe4Ru
_chemical_formula_sum 'K4 Te16 Ru4'
_cell_length_a 9.0974
_cell_length_b 9.0974
_cell_length_c 9.0974
_cell_angle_alpha 90.00
_cell_angle_beta 90.00
_cell_angle_gamma 90.00
_symmetry_space_group_name_H-M 'F -4 3 m'
_symmetry_Int_Tables_number 216
_symmetry_space_group_name_Hall 'F -4 2 3'
loop_
_atom_site_label
_atom_site_type_symbol
_atom_site_fract_x
_atom_site_fract_y
_atom_site_fract_z
K1 K 0.0000 0.0000 0.0000
Te1 Te 0.1241 0.1241 0.3759
Ru1 Ru 0.2500 0.2500 0.7500
```